## HoMnGa4 (PBE)

Data for an optimized crystal structure of HoMnGa4.

POSCAR file:
```
HoMnGa4
1.0
5.6460 0.0000 0.0000
-2.8230 5.4146 0.8321
0.0000 -0.8662 7.5053
Ho Ga Mn
2 8 2
direct
0.6248 0.0000 0.7500
0.3752 0.0000 0.2500
0.5859 0.4839 0.6633
0.9152 0.1032 0.3904
0.1880 0.1032 0.8904
0.8979 0.4839 0.1633
0.1021 0.5161 0.8367
0.8120 0.8968 0.1096
0.4141 0.5161 0.3367
0.0848 0.8968 0.6096
0.0000 0.5000 0.5000
0.5000 0.5000 0.0000
```

- energy of formation (meV/atom) = -152
- space group = C2/c, No. 15
- density of states at the Fermi level (states/eV/cell) = 5.90
- calculated total energy (hartree per atom) = -0.1639
- total magnetization (μB/atom) = 0.451
- calculated volume (Å³/cell) = 234



## HoMnGa2 (PBE)

Data for an optimized crystal structure of HoMnGa2.

POSCAR file:
```
HoMnGa2
1.0
3.2916 0.0000 0.0000
0.0000 3.2916 0.0000
0.0000 0.0000 6.6874
Ga Mn Ho
2 1 1
direct
0.0000 0.0000 0.7973
0.0000 0.0000 0.2027
0.5000 0.5000 0.0000
0.5000 0.5000 0.5000
```

- energy of formation (meV/atom) = -264
- space group = P4/mmm, No. 123
- density of states at the Fermi level (states/eV/cell) = 3.56
- calculated total energy (hartree per atom) = -0.1916
- total magnetization (μB/atom) = 0.837
- calculated volume (Å³/cell) = 72



## HoMnGa6 (PBE)

Data for an optimized crystal structure of HoMnGa6.

POSCAR file:
```
HoMnGa6
1.0
5.5671 -1.0125 0.2096
-0.5914 5.6275 0.2096
1.6987 1.5755 5.1669
Ga Ho Mn
6 1 1
direct
0.2845 0.2845 0.1303
0.1301 0.7153 0.2845
0.7153 0.1301 0.2845
0.7155 0.7155 0.8697
0.8699 0.2847 0.7155
0.2847 0.8699 0.7155
0.5000 0.5000 0.5000
0.0000 0.0000 0.0000
```

- energy of formation (meV/atom) = -171
- space group = R-3m, No. 166
- density of states at the Fermi level (states/eV/cell) = 4.76
- calculated total energy (hartree per atom) = -0.1529
- total magnetization (μB/atom) = 0.000
- calculated volume (Å³/cell) = 154



Question: Among the records above, which one has the highest calculated total energy?
Answer: HoMnGa6



Question: Which formula does entry 1 have?
Answer: HoMnGa4



Question: What is the energy of formation in the second record?
Answer: -264 meV/atom



Please write out number 3 again, unchanged.
## HoMnGa6 (PBE)

Data for an optimized crystal structure of HoMnGa6.

POSCAR file:
```
HoMnGa6
1.0
5.5671 -1.0125 0.2096
-0.5914 5.6275 0.2096
1.6987 1.5755 5.1669
Ga Ho Mn
6 1 1
direct
0.2845 0.2845 0.1303
0.1301 0.7153 0.2845
0.7153 0.1301 0.2845
0.7155 0.7155 0.8697
0.8699 0.2847 0.7155
0.2847 0.8699 0.7155
0.5000 0.5000 0.5000
0.0000 0.0000 0.0000
```

- energy of formation (meV/atom) = -171
- space group = R-3m, No. 166
- density of states at the Fermi level (states/eV/cell) = 4.76
- calculated total energy (hartree per atom) = -0.1529
- total magnetization (μB/atom) = 0.000
- calculated volume (Å³/cell) = 154